# PBE-GGA KRbF, relaxed
data_KRbF
_chemical_formula_sum 'K1 Rb1 F1'
_space_group_name_H-M_alt 'P 3 m 1'
_space_group_IT_number 156
_cell_length_a 4.1688
_cell_length_b 4.1688
_cell_length_c 7.4040
_cell_angle_alpha 90.00
_cell_angle_beta 90.00
_cell_angle_gamma 120.00
loop_
_space_group_symop_operation_xyz
'x,y,z'
'-y,x-y,z'
'-x+y,-x,z'
'-y,-x,z'
'-x+y,y,z'
'x,x-y,z'
loop_
_atom_site_label
_atom_site_fract_x
_atom_site_fract_y
_atom_site_fract_z
_atom_site_occupancy
K1 0.0000 0.0000 0.0000 1
Rb1 0.6667 0.3333 0.5746 1
F1 0.3333 0.6667 0.7972 1
# Relative energy among the computed polymorphs, eV/atom: 0.000
# Spin magnetization, μB per cell: 0.00
# Mass density, g cm⁻³: 2.139
# Final energy, eV/atom: -3.0147
# Raw formation energy, eV per atom: -1.7026
# Crystal system: trigonal
# DOS(E_F), states/eV per atom: 0.232

# PBE-GGA ThSc14Cd, relaxed
data_ThSc14Cd
_chemical_formula_sum 'Th2 Sc28 Cd2'
_space_group_name_H-M_alt 'C m m m'
_space_group_IT_number 65
_space_group_name_Hall '-C 2 2'
_cell_length_a 9.166
_cell_length_b 9.174
_cell_length_c 9.359
_cell_angle_alpha 90.00
_cell_angle_beta 90.00
_cell_angle_gamma 90.00
loop_
_atom_site_label
_atom_site_fract_x
_atom_site_fract_y
_atom_site_fract_z
_atom_site_occupancy
Th1 0.000 0.000 0.000 1
Sc1 0.000 0.000 0.500 1
Sc2 0.000 0.248 0.251 1
Sc3 0.000 0.500 0.500 1
Sc4 0.248 0.000 0.251 1
Sc5 0.250 0.250 0.000 1
Sc6 0.250 0.250 0.500 1
Cd1 0.000 0.500 0.000 1
# Spin magnetization, μB per cell: 0.00
# Mass density, g cm⁻³: 4.109
# Final energy, eV/atom: -6.0572
# Crystal system: orthorhombic
# DFT formation energy, kJ per mole of atoms: 0
# DOS(E_F), states/eV per atom: 1.526

# PBE-GGA Er2Pd7Au2, relaxed
data_Er2Pd7Au2
_chemical_formula_sum 'Er4 Pd14 Au4'
_space_group_name_H-M_alt 'C 1 2/m 1'
_space_group_IT_number 12
_cell_length_a 9.362
_cell_length_b 9.220
_cell_length_c 5.186
_cell_angle_alpha 90.00
_cell_angle_beta 116.47
_cell_angle_gamma 90.00
loop_
_space_group_symop_operation_xyz
'x,y,z'
'-x,-y,-z'
'-x,y,-z'
'x,-y,z'
'x+1/2,y+1/2,z'
'-x+1/2,-y+1/2,-z'
'-x+1/2,y+1/2,-z'
'x+1/2,-y+1/2,z'
loop_
_atom_site_label
_atom_site_fract_x
_atom_site_fract_y
_atom_site_fract_z
_atom_site_occupancy
Er1 0.000 0.218 0.000 1
Pd1 0.000 0.000 0.500 1
Pd2 0.107 0.500 0.356 1
Pd3 0.171 0.244 0.668 1
Au1 0.236 0.500 0.966 1
# Spin magnetization, μB per cell: 0.00
# Mass density, g cm⁻³: 12.213
# Final energy, eV/atom: -5.2691
# Crystal system: monoclinic
# DFT formation energy, kJ per mole of atoms: -52
# DOS(E_F), states/eV per atom: 0.293

# PBE-GGA HfTi2Se6, relaxed
data_HfTi2Se6
_chemical_formula_sum 'Hf1 Ti2 Se6'
_space_group_name_H-M_alt 'P -3 1 m'
_space_group_IT_number 162
_space_group_name_Hall '-P 3 2'
_cell_length_a 6.2588
_cell_length_b 6.2588
_cell_length_c 6.6539
_cell_angle_alpha 90.00
_cell_angle_beta 90.00
_cell_angle_gamma 120.00
loop_
_atom_site_label
_atom_site_fract_x
_atom_site_fract_y
_atom_site_fract_z
_atom_site_occupancy
Hf1 0.0000 0.0000 0.0000 1
Ti1 0.3333 0.6667 0.0000 1
Se1 0.0000 0.3434 0.7650 1
# Spin magnetization, μB per cell: 0.00
# Mass density, g cm⁻³: 5.502
# Final energy, eV/atom: -6.3659
# Raw formation energy, eV per atom: -1.1825
# Crystal system: trigonal
# DOS(E_F), states/eV per atom: 0.168

# PBE-GGA Y2RuPt2, relaxed
data_Y2RuPt2
_chemical_formula_sum 'Y4 Ru2 Pt4'
_space_group_name_H-M_alt 'P 4/m b m'
_space_group_IT_number 127
_space_group_name_Hall '-P 4 2ab'
_cell_length_a 7.183
_cell_length_b 7.183
_cell_length_c 4.003
_cell_angle_alpha 90.00
_cell_angle_beta 90.00
_cell_angle_gamma 90.00
loop_
_atom_site_label
_atom_site_fract_x
_atom_site_fract_y
_atom_site_fract_z
_atom_site_occupancy
Y1 0.176 0.324 0.000 1
Ru1 0.000 0.000 0.500 1
Pt1 0.132 0.632 0.500 1
# Relative energy among the computed polymorphs, eV/atom: 0.000
# Spin magnetization, μB per cell: 0.00
# Mass density, g cm⁻³: 10.757
# Final energy, eV/atom: -7.5801
# Crystal system: tetragonal
# DFT formation energy, kJ per mole of atoms: -70
# DOS(E_F), states/eV per atom: 0.596

# PBE-GGA BaSb2Te, relaxed
data_BaSb2Te
_chemical_formula_sum 'Ba1 Sb2 Te1'
_space_group_name_H-M_alt 'P 1 2/m 1'
_space_group_IT_number 10
_cell_length_a 5.265
_cell_length_b 4.634
_cell_length_c 6.546
_cell_angle_alpha 90.00
_cell_angle_beta 108.61
_cell_angle_gamma 90.00
loop_
_space_group_symop_operation_xyz
'x,y,z'
'-x,-y,-z'
'-x,y,-z'
'x,-y,z'
loop_
_atom_site_label
_atom_site_fract_x
_atom_site_fract_y
_atom_site_fract_z
_atom_site_occupancy
Ba1 0.000 0.000 0.000 1
Sb1 0.352 0.500 0.775 1
Te1 0.500 0.000 0.500 1
# Spin magnetization, μB per cell: 0.00
# Mass density, g cm⁻³: 5.578
# Final energy, eV/atom: -3.8557
# Raw formation energy, eV per atom: -0.5284
# Crystal system: monoclinic
# DOS(E_F), states/eV per atom: 0.249

Question: Look up the DOS(E_F) of the sixth one.
Answer: 0.249 states/eV per atom

Question: Look up the mass density of the sixth one.
Answer: 5.578 g cm⁻³

Question: The lowest mass density belongs to which entry?
Answer: KRbF